PBE Ce4Pr3Pb4, relaxed; DOS(E_F) = 1.570 states/eV per atom; uncorrected energy = -5.13 eV/atom; size of the total moment = 0.01 Bohr magnetons per cell; formation enthalpy at 0 K = -317 meV per atom
1.0
-2.3029 -2.8335 -1.5908
8.7402 -4.9389 -3.8557
-2.6337 -0.4573 9.6129
Ce Pb Pr
4 4 3
Cartesian
2.3892 -3.8043 3.3173
1.4144 -4.4254 0.8491
-1.6738 -1.5084 5.1097
5.4774 -6.7213 -0.9433
0.7691 -2.5020 -1.6427
4.6249 -4.3615 1.0733
5.6682 -5.2703 -3.8039
-0.8213 -3.8682 3.0931
0.1310 -0.9729 1.5432
3.6726 -7.2568 2.6232
4.3701 -2.4694 -1.9279